1.
# Y2Al2HgPd5

Crystalline Y2Al2HgPd5 at its relaxed geometry (PBE, Alexandria via LeMat-Bulk).

Cell: 9.995 9.995 3.721 Å, 90.00 90.00 90.00°
Fractional coordinates of all 20 atoms:
Y 0.180 0.320 0.000
Y 0.320 0.820 0.000
Y 0.680 0.180 0.000
Y 0.820 0.680 0.000
Al 0.117 0.617 0.000
Al 0.383 0.117 0.000
Al 0.617 0.883 0.000
Al 0.883 0.383 0.000
Hg 0.000 0.000 0.000
Hg 0.500 0.500 0.000
Pd 0.000 0.500 0.500
Pd 0.065 0.785 0.500
Pd 0.215 0.065 0.500
Pd 0.285 0.565 0.500
Pd 0.435 0.285 0.500
Pd 0.500 0.000 0.500
Pd 0.565 0.715 0.500
Pd 0.715 0.435 0.500
Pd 0.785 0.935 0.500
Pd 0.935 0.215 0.500

Summary:
The value obtained for the formation energy is -0.71 eV/atom. The space group is No. 127. The crystal system is tetragonal. Its electronic total energy is -5.38 eV/atom.



2.
# LuTlGa

Crystalline LuTlGa at its relaxed geometry (PBE, Alexandria via LeMat-Bulk).

Cell: 3.279 3.279 15.527 Å, 90.00 90.00 90.00°
Fractional coordinates of all 6 atoms:
Lu 0.000 0.000 0.000
Lu 0.500 0.500 0.500
Tl 0.000 0.000 0.198
Tl 0.500 0.500 0.698
Ga 0.000 0.000 0.377
Ga 0.500 0.500 0.877

Summary:
The value obtained for the formation energy is 0.05 eV/atom. The space group is No. 107. For the polymorph energy (0 for the lowest one), the calculation gives 0.288 eV per atom. The crystal system is tetragonal. Its electronic total energy is -3.25 eV/atom.